VASP calculation (PBE) on a geometry-optimized SrMgZn2Au2 structure.

Lattice parameters (Å, degrees): 4.528 4.528 7.346 90.00 90.00 120.00
Positions (direct):
Sr (0.000, 0.000, 0.000)
Mg (0.000, 0.000, 0.500)
Zn (0.667, 0.333, 0.690)
Zn (0.333, 0.667, 0.310)
Au (0.667, 0.333, 0.302)
Au (0.333, 0.667, 0.698)

Summary:
symmetry = No. 164
ΔE_f = -530 meV per atom
crystal system = trigonal

VASP calculation (PBE) on a geometry-optimized AgI structure.

Lattice parameters (Å, degrees): 12.712 4.590 7.151 90.00 90.00 90.00
Positions (direct):
Ag (0.798, 0.319, 0.639)
Ag (0.702, 0.681, 0.139)
Ag (0.202, 0.319, 0.639)
Ag (0.298, 0.681, 0.139)
Ag (0.000, 0.055, 0.498)
Ag (0.500, 0.945, 0.998)
I (0.826, 0.173, 0.240)
I (0.674, 0.827, 0.740)
I (0.174, 0.173, 0.240)
I (0.326, 0.827, 0.740)
I (0.000, 0.575, 0.745)
I (0.500, 0.425, 0.245)

Summary:
symmetry = No. 31
formation energy without anion corrections = -0.216 eV/atom
crystal system = orthorhombic

VASP calculation (PBE) on a geometry-optimized LaYSi2 structure.

Lattice parameters (Å, degrees): 5.028 5.028 5.028 60.00 60.00 60.00
Positions (direct):
La (0.500, 0.500, 0.500)
Si (0.000, 0.000, 0.000)
Si (0.250, 0.250, 0.250)
Y (0.750, 0.750, 0.750)

Summary:
symmetry = No. 216
formation energy without anion corrections = 0.082 eV/atom
energy above the most stable polymorph in this dataset = 849 meV per atom
crystal system = cubic

VASP calculation (PBE) on a geometry-optimized ZrTa3Cr structure.

Lattice parameters (Å, degrees): 4.895 4.895 4.895 90.00 90.00 90.00
Each line ends with the local moment (μB).
Positions (direct):
Cr (0.500, 0.500, 0.500)  3.73
Zr (0.000, 0.000, 0.000)  -0.01
Ta (0.000, 0.500, 0.000)  -0.10
Ta (0.000, 0.000, 0.500)  -0.06
Ta (0.500, 0.000, 0.000)  -0.27

Summary:
symmetry = No. 221
ΔE_f = 2098 meV per atom
energy above the most stable polymorph in this dataset = 1357 meV per atom
crystal system = cubic

VASP calculation (PBE) on a geometry-optimized TlIn2AgTe4 structure.

Lattice parameters (Å, degrees): 6.571 8.659 8.659 44.59 67.70 67.70
Positions (direct):
Tl (0.000, 0.000, 0.000)
In (0.250, 0.250, 0.250)
In (0.750, 0.750, 0.750)
Ag (0.500, 0.500, 0.500)
Te (0.411, 0.140, 0.589)
Te (0.140, 0.860, 0.411)
Te (0.860, 0.589, 0.140)
Te (0.589, 0.411, 0.860)

Summary:
symmetry = No. 121
formation energy without anion corrections = -0.223 eV/atom
crystal system = tetragonal

VASP calculation (PBE) on a geometry-optimized FePt2Se structure.

Lattice parameters (Å, degrees): 4.897 4.897 4.897 132.37 132.37 69.65
Each line ends with the local moment (μB).
Positions (direct):
Fe (0.750, 0.250, 0.500)  3.11
Pt (0.000, 0.000, 0.000)  0.25
Pt (0.500, 0.500, 0.000)  0.25
Se (0.250, 0.750, 0.500)  0.03

Summary:
symmetry = No. 139
formation energy without anion corrections = 0.175 eV/atom
crystal system = tetragonal

| no. | E (eV per atom) |
| --- | --- |
| 1 | -2.593 |
| 2 | -2.417 |
| 3 | -5.478 |
| 4 | -8.648 |
| 5 | -3.130 |
| 6 | -5.832 |